Record 1
! PBE Tb2Zn5Ge, relaxed; values from VASP
! E	-47.832	eV for the cell shown
! M_tot	0.000	Bohr magnetons per cell
! formation enthalpy at 0 K	-0.459	eV per atom
&SYSTEM
  ibrav = 0, nat = 16, ntyp = 3
/
ATOMIC_SPECIES
Tb 158.93 Tb.upf
Zn 65.41 Zn.upf
Ge 72.64 Ge.upf
ATOMIC_POSITIONS crystal
Tb 0.800 0.601 0.750
Tb 0.200 0.399 0.250
Tb 0.000 0.000 0.000
Tb 0.000 0.000 0.500
Zn 0.187 0.375 0.893
Zn 0.813 0.625 0.107
Zn 0.187 0.375 0.607
Zn 0.813 0.625 0.393
Zn 0.350 0.699 0.976
Zn 0.650 0.301 0.024
Zn 0.350 0.699 0.524
Zn 0.650 0.301 0.476
Zn 0.602 0.204 0.750
Zn 0.398 0.796 0.250
Ge 0.447 0.894 0.750
Ge 0.553 0.106 0.250
CELL_PARAMETERS angstrom
4.297 0.000 0.000
-2.148 7.953 0.000
0.000 0.000 8.823

Record 2
! PBE Tb3Zn2Ge4, relaxed; values from VASP
! E	-40.535	eV for the cell shown
! M_tot	0.000	Bohr magnetons per cell
! formation enthalpy at 0 K	-0.625	eV per atom
&SYSTEM
  ibrav = 0, nat = 9, ntyp = 3
/
ATOMIC_SPECIES
Tb 158.93 Tb.upf
Zn 65.41 Zn.upf
Ge 72.64 Ge.upf
ATOMIC_POSITIONS crystal
Tb 0.336 0.656 0.672
Tb 0.000 0.000 0.000
Tb 0.664 0.344 0.328
Zn 0.393 0.936 0.278
Zn 0.607 0.064 0.722
Ge 0.285 0.377 0.054
Ge 0.715 0.623 0.946
Ge 0.065 0.261 0.608
Ge 0.935 0.739 0.392
CELL_PARAMETERS angstrom
-2.278 3.206 -1.642
-1.975 -1.295 -5.322
-8.370 -3.405 -0.569

Record 3
! PBE Tb2Zn2Ge3, relaxed; values from VASP
! E	-58.323	eV for the cell shown
! M_tot	0.000	Bohr magnetons per cell
! formation enthalpy at 0 K	-0.500	eV per atom
&SYSTEM
  ibrav = 0, nat = 14, ntyp = 3
/
ATOMIC_SPECIES
Tb 158.93 Tb.upf
Zn 65.41 Zn.upf
Ge 72.64 Ge.upf
ATOMIC_POSITIONS crystal
Tb 0.156 0.250 0.312
Tb 0.844 0.750 0.688
Tb 0.962 0.250 0.925
Tb 0.038 0.750 0.075
Zn 0.693 0.956 0.386
Zn 0.307 0.044 0.614
Zn 0.307 0.456 0.614
Zn 0.693 0.544 0.386
Ge 0.211 0.750 0.422
Ge 0.789 0.250 0.578
Ge 0.568 0.444 0.135
Ge 0.432 0.556 0.865
Ge 0.432 0.944 0.865
Ge 0.568 0.056 0.135
CELL_PARAMETERS angstrom
-2.153 -3.028 -2.172
-3.400 -1.528 5.500
-5.841 8.172 -1.341

Record 4
! PBE Tb3Zn9Ge2, relaxed; values from VASP
! E	-39.581	eV for the cell shown
! M_tot	0.000	Bohr magnetons per cell
! formation enthalpy at 0 K	-0.356	eV per atom
&SYSTEM
  ibrav = 0, nat = 14, ntyp = 3
/
ATOMIC_SPECIES
Tb 158.93 Tb.upf
Zn 65.41 Zn.upf
Ge 72.64 Ge.upf
ATOMIC_POSITIONS crystal
Tb 0.000 0.000 0.000
Tb 0.690 0.310 0.310
Tb 0.310 0.690 0.690
Zn 0.000 0.500 0.500
Zn 0.660 0.967 0.712
Zn 0.340 0.033 0.288
Zn 0.660 0.712 0.967
Zn 0.340 0.288 0.033
Zn 0.855 0.874 0.416
Zn 0.145 0.126 0.584
Zn 0.855 0.416 0.874
Zn 0.145 0.584 0.126
Ge 0.500 0.294 0.706
Ge 0.500 0.706 0.294
CELL_PARAMETERS angstrom
4.146 0.000 1.157
1.488 7.528 2.673
-0.030 -0.393 8.116

Record 5
! PBE Tb2Zn3Ge, relaxed; values from VASP
! E	-41.756	eV for the cell shown
! M_tot	0.000	Bohr magnetons per cell
! formation enthalpy at 0 K	-0.530	eV per atom
&SYSTEM
  ibrav = 0, nat = 12, ntyp = 3
/
ATOMIC_SPECIES
Tb 158.93 Tb.upf
Zn 65.41 Zn.upf
Ge 72.64 Ge.upf
ATOMIC_POSITIONS crystal
Tb 0.250 0.750 0.500
Tb 0.753 0.753 0.000
Tb 0.750 0.250 0.500
Tb 0.247 0.247 0.000
Zn 0.668 0.168 0.836
Zn 0.832 0.332 0.164
Zn 0.332 0.832 0.164
Zn 0.168 0.668 0.836
Zn 0.835 0.835 0.669
Zn 0.165 0.165 0.331
Ge 0.334 0.334 0.667
Ge 0.666 0.666 0.333
CELL_PARAMETERS angstrom
-5.072 -0.484 2.562
-1.134 -2.310 -5.089
5.102 -5.453 3.927

Record 6
! PBE TbZnGe, relaxed; values from VASP
! E	-12.468	eV for the cell shown
! M_tot	0.000	Bohr magnetons per cell
! formation enthalpy at 0 K	-0.649	eV per atom
&SYSTEM
  ibrav = 0, nat = 3, ntyp = 3
/
ATOMIC_SPECIES
Ge 72.64 Ge.upf
Tb 158.93 Tb.upf
Zn 65.41 Zn.upf
ATOMIC_POSITIONS crystal
Ge 0.166 0.000 0.000
Tb 0.667 0.667 0.333
Zn 0.168 0.333 0.667
CELL_PARAMETERS angstrom
-3.085 2.601 0.598
-2.563 -3.219 0.777
2.120 1.793 3.135

Record 7
! PBE Tb2ZnGe2, relaxed; values from VASP
! E	-23.050	eV for the cell shown
! M_tot	0.000	Bohr magnetons per cell
! formation enthalpy at 0 K	-0.656	eV per atom
&SYSTEM
  ibrav = 0, nat = 5, ntyp = 3
/
ATOMIC_SPECIES
Tb 158.93 Tb.upf
Zn 65.41 Zn.upf
Ge 72.64 Ge.upf
ATOMIC_POSITIONS crystal
Tb 0.709 0.791 0.291
Tb 0.291 0.209 0.709
Zn 0.500 0.500 0.000
Ge 0.000 0.220 0.280
Ge 0.000 0.780 0.720
CELL_PARAMETERS angstrom
3.831 0.000 1.632
1.129 4.910 2.663
-0.163 0.030 5.696

Record 8
! PBE Tb4Zn5Ge6, relaxed; values from VASP
! E	-119.418	eV for the cell shown
! M_tot	0.000	Bohr magnetons per cell
! formation enthalpy at 0 K	-0.474	eV per atom
&SYSTEM
  ibrav = 0, nat = 30, ntyp = 3
/
ATOMIC_SPECIES
Tb 158.93 Tb.upf
Zn 65.41 Zn.upf
Ge 72.64 Ge.upf
ATOMIC_POSITIONS crystal
Tb 0.322 0.678 0.508
Tb 0.530 0.470 0.820
Tb 0.674 0.326 0.365
Tb 0.678 0.322 0.008
Tb 0.470 0.530 0.320
Tb 0.466 0.534 0.050
Tb 0.534 0.466 0.550
Tb 0.326 0.674 0.865
Zn 0.074 0.926 0.105
Zn 0.791 0.209 0.678
Zn 0.354 0.646 0.182
Zn 0.646 0.354 0.682
Zn 0.073 0.927 0.269
Zn 0.209 0.791 0.178
Zn 0.927 0.073 0.769
Zn 0.847 0.153 0.325
Zn 0.153 0.847 0.825
Zn 0.926 0.074 0.605
Ge 0.066 0.934 0.950
Ge 0.721 0.279 0.821
Ge 0.074 0.926 0.428
Ge 0.617 0.383 0.186
Ge 0.058 0.942 0.687
Ge 0.942 0.058 0.187
Ge 0.383 0.617 0.686
Ge 0.711 0.289 0.544
Ge 0.289 0.711 0.044
Ge 0.926 0.074 0.928
Ge 0.279 0.721 0.321
Ge 0.934 0.066 0.450
CELL_PARAMETERS angstrom
9.417 0.032 0.000
-8.454 4.149 0.000
0.000 0.000 15.831

Record 9
! PBE Tb6Zn5Ge, relaxed; values from VASP
! E	-43.745	eV for the cell shown
! M_tot	0.000	Bohr magnetons per cell
! formation enthalpy at 0 K	-0.415	eV per atom
&SYSTEM
  ibrav = 0, nat = 12, ntyp = 3
/
ATOMIC_SPECIES
Zn 65.41 Zn.upf
Tb 158.93 Tb.upf
Ge 72.64 Ge.upf
ATOMIC_POSITIONS crystal
Zn 0.667 0.500 0.665
Zn 0.323 0.000 0.354
Zn 0.000 0.500 0.000
Zn 0.677 0.000 0.646
Zn 0.333 0.500 0.335
Tb 0.835 0.749 0.330
Tb 0.835 0.251 0.330
Tb 0.500 0.245 0.000
Tb 0.500 0.755 0.000
Tb 0.165 0.749 0.670
Tb 0.165 0.251 0.670
Ge 0.000 0.000 0.000
CELL_PARAMETERS angstrom
4.792 -0.028 1.596
0.039 7.146 0.013
-0.016 -0.014 8.033

Record 10
! PBE Tb3Zn2Ge3, relaxed; values from VASP
! E	-71.115	eV for the cell shown
! M_tot	0.704	Bohr magnetons per cell
! formation enthalpy at 0 K	-0.658	eV per atom
&SYSTEM
  ibrav = 0, nat = 16, ntyp = 3
/
ATOMIC_SPECIES
Tb 158.93 Tb.upf
Zn 65.41 Zn.upf
Ge 72.64 Ge.upf
ATOMIC_POSITIONS crystal
Tb 0.930 0.860 0.386
Tb 0.070 0.140 0.886
Tb 0.930 0.860 0.114
Tb 0.070 0.140 0.614
Tb 0.645 0.290 0.250
Tb 0.355 0.710 0.750
Zn 0.774 0.547 0.902
Zn 0.226 0.453 0.402
Zn 0.774 0.547 0.598
Zn 0.226 0.453 0.098
Ge 0.617 0.235 0.457
Ge 0.383 0.765 0.957
Ge 0.617 0.235 0.043
Ge 0.383 0.765 0.543
Ge 0.360 0.719 0.250
Ge 0.640 0.281 0.750
CELL_PARAMETERS angstrom
4.225 0.000 0.000
-2.112 5.521 0.000
0.000 0.000 14.370

Record 11
! PBE Tb3ZnGe2, relaxed; values from VASP
! E	-114.589	eV for the cell shown
! M_tot	0.000	Bohr magnetons per cell
! formation enthalpy at 0 K	-0.708	eV per atom
&SYSTEM
  ibrav = 0, nat = 24, ntyp = 3
/
ATOMIC_SPECIES
Tb 158.93 Tb.upf
Zn 65.41 Zn.upf
Ge 72.64 Ge.upf
ATOMIC_POSITIONS crystal
Tb 0.250 0.377 0.056
Tb 0.750 0.623 0.944
Tb 0.750 0.877 0.444
Tb 0.250 0.123 0.556
Tb 0.250 0.696 0.204
Tb 0.750 0.304 0.796
Tb 0.750 0.196 0.296
Tb 0.250 0.804 0.704
Tb 0.250 0.435 0.372
Tb 0.750 0.565 0.628
Tb 0.750 0.935 0.128
Tb 0.250 0.065 0.872
Zn 0.250 0.137 0.138
Zn 0.750 0.863 0.862
Zn 0.750 0.637 0.362
Zn 0.250 0.363 0.638
Ge 0.250 0.680 0.481
Ge 0.750 0.320 0.519
Ge 0.750 0.180 0.019
Ge 0.250 0.820 0.981
Ge 0.250 0.000 0.315
Ge 0.750 0.000 0.685
Ge 0.750 0.500 0.185
Ge 0.250 0.500 0.815
CELL_PARAMETERS angstrom
-2.778 2.530 -1.974
-5.313 -9.300 -4.441
-6.926 -0.433 9.191

Record 12
! PBE TbZnGe, relaxed; values from VASP
! E	-50.235	eV for the cell shown
! M_tot	0.000	Bohr magnetons per cell
! formation enthalpy at 0 K	-0.679	eV per atom
&SYSTEM
  ibrav = 0, nat = 12, ntyp = 3
/
ATOMIC_SPECIES
Ge 72.64 Ge.upf
Tb 158.93 Tb.upf
Zn 65.41 Zn.upf
ATOMIC_POSITIONS crystal
Ge 0.333 0.667 0.886
Ge 0.333 0.667 0.614
Ge 0.667 0.333 0.114
Ge 0.667 0.333 0.386
Tb 0.000 0.000 0.250
Tb 0.000 0.000 0.750
Tb 0.000 0.000 0.500
Tb 0.000 0.000 0.000
Zn 0.333 0.667 0.146
Zn 0.333 0.667 0.354
Zn 0.667 0.333 0.854
Zn 0.667 0.333 0.646
CELL_PARAMETERS angstrom
-0.028 2.547 3.389
-3.529 -2.059 -1.133
4.156 -12.185 9.191